Entry 1:
Tb2NdMn PBE-GGA optimized geometry; final energy = -5.474 eV/atom; ΔE to the lowest computed polymorph = 195 meV/atom; DOS at the Fermi energy = 1.300 states/eV per atom; ΔH_f (0 K) = 0.325 eV/atom
1.0
0.000 3.797 3.797
3.797 0.000 3.797
3.797 3.797 0.000
Tb Nd Mn
2 1 1
Cartesian
1.898 1.898 1.898
5.695 5.695 5.695
0.000 0.000 0.000
3.797 3.797 3.797

---

Entry 2:
Pm3Nd3SmZn2 PBE-GGA optimized geometry; final energy = -3.995 eV/atom; DOS at the Fermi energy = 1.513 states/eV per atom; ΔH_f (0 K) = -0.015 eV/atom
1.0
9.209 0.000 0.000
-4.604 7.975 0.000
0.000 0.000 3.721
Pm Nd Sm Zn
3 3 1 2
Cartesian
-1.751 3.033 0.000
3.502 0.000 0.000
2.853 4.942 0.000
-3.171 5.492 1.860
1.434 2.483 1.860
6.341 0.000 1.860
0.000 0.000 0.000
0.000 5.317 1.860
4.604 2.658 1.860

---

Entry 3:
LaScTl PBE-GGA optimized geometry; final energy = -4.728 eV/atom; ΔE to the lowest computed polymorph = 103 meV/atom; DOS at the Fermi energy = 1.281 states/eV per atom; ΔH_f (0 K) = -0.186 eV/atom
1.0
-1.801 1.801 6.664
1.801 -1.801 6.664
1.801 1.801 -6.664
La Sc Tl
1 1 1
Cartesian
0.000 0.000 0.000
0.000 0.000 9.151
0.000 0.000 4.262

---

Entry 4:
LiHfGaCo PBE-GGA optimized geometry; final energy = -5.842 eV/atom; DOS at the Fermi energy = 1.187 states/eV per atom; ΔH_f (0 K) = -0.342 eV/atom
1.0
0.000 3.041 3.041
3.041 0.000 3.041
3.041 3.041 0.000
Li Hf Ga Co
1 1 1 1
Cartesian
0.000 0.000 0.000
1.520 1.520 1.520
4.561 4.561 4.561
3.041 3.041 3.041

---

Entry 5:
LiAu4Se4Cl4O12 PBE-GGA optimized geometry; final energy = -4.388 eV/atom; ΔE to the lowest computed polymorph = 2 meV/atom; formation energy (no corrections) = -554 meV/atom; DOS at the Fermi energy = 0.092 states/eV per atom
1.0
4.664 0.000 0.000
1.104 10.099 0.000
0.669 1.235 10.978
Li Au Se Cl O
1 4 4 4 12
Cartesian
0.000 0.000 0.000
4.781 10.277 8.604
4.276 4.162 6.432
4.755 6.331 10.397
4.922 9.561 3.163
0.637 1.081 5.697
3.219 7.998 0.741
3.324 3.462 9.540
5.401 7.228 7.353
0.536 1.129 2.298
1.152 4.663 4.818
2.603 4.676 1.130
3.559 7.856 3.889
1.420 6.703 8.877
1.849 10.578 7.294
3.276 10.094 10.356
2.878 3.702 7.896
4.229 8.422 7.803
4.095 6.079 7.069
4.422 9.234 1.217
3.999 2.257 5.757
4.282 1.997 9.534
4.453 7.001 0.018
4.783 4.404 9.792
5.383 9.858 5.099

---

Entry 6:
Ac3Pd2Rh7 PBE-GGA optimized geometry; final energy = -6.683 eV/atom; DOS at the Fermi energy = 1.000 states/eV per atom; ΔH_f (0 K) = -0.502 eV/atom
1.0
2.727 1.575 9.073
-2.727 1.575 9.073
0.000 -3.149 9.073
Ac Pd Rh
3 2 7
Cartesian
0.000 0.000 0.000
0.000 0.000 3.779
0.000 0.000 23.439
0.000 0.000 9.058
0.000 0.000 18.161
-1.367 -0.789 11.323
0.000 -1.578 15.895
-1.367 0.789 15.895
0.000 0.000 13.609
1.367 -0.789 11.323
0.000 1.578 11.323
1.367 0.789 15.895

---

Entry 7:
LiCe2Se4 PBE-GGA optimized geometry; final energy = -5.505 eV/atom; ΔE to the lowest computed polymorph = 68 meV/atom; formation energy (no corrections) = -1545 meV/atom; DOS at the Fermi energy = 1.713 states/eV per atom
1.0
6.977 0.000 0.000
0.000 6.114 0.000
-2.464 0.000 7.898
Li Ce Se
2 4 8
Cartesian
1.222 1.528 1.458
3.291 4.585 6.441
0.631 4.585 3.464
-0.529 4.585 7.400
5.042 1.528 0.499
3.882 1.528 4.434
-1.777 1.528 7.012
-0.526 1.528 3.105
1.537 0.062 5.887
1.537 2.995 5.887
2.976 3.119 2.011
2.976 6.052 2.011
5.039 4.585 4.793
6.290 4.585 0.886

---

Entry 8:
MgSc2Cl PBE-GGA optimized geometry; final energy = -4.570 eV/atom; ΔE to the lowest computed polymorph = 65 meV/atom; formation energy (no corrections) = -544 meV/atom; DOS at the Fermi energy = 1.520 states/eV per atom
1.0
3.254 0.000 0.000
0.000 3.254 0.000
0.000 0.000 9.499
Mg Sc Cl
1 2 1
Cartesian
0.000 0.000 0.000
0.000 0.000 4.512
1.627 1.627 2.212
1.627 1.627 6.033

---

Entry 9:
Tb2Th3Sc PBE-GGA optimized geometry; final energy = -6.113 eV/atom; DOS at the Fermi energy = 1.268 states/eV per atom; ΔH_f (0 K) = 0.195 eV/atom
1.0
5.051 -5.556 0.000
5.051 5.556 0.000
0.000 0.000 6.682
Tb Th Sc
4 6 2
Cartesian
3.341 2.993 5.011
6.761 2.993 5.011
3.341 -2.993 1.670
6.761 -2.993 1.670
0.000 0.000 0.000
0.000 0.000 3.341
3.393 0.000 0.000
3.393 0.000 3.341
6.710 0.000 0.000
6.710 0.000 3.341
5.051 2.526 1.670
5.051 -2.526 5.011

---

Entry 10:
Ho3Si6PtRh2 PBE-GGA optimized geometry; final energy = -6.134 eV/atom; formation energy (no corrections) = -549 meV/atom; DOS at the Fermi energy = 0.387 states/eV per atom
1.0
5.270 0.000 0.000
-2.635 4.564 0.000
0.000 0.000 9.002
Ho Si Pt Rh
3 6 1 2
Cartesian
0.000 0.000 0.000
0.000 3.042 5.222
2.635 1.521 3.781
0.000 1.550 2.461
-1.292 3.788 2.461
1.343 0.775 6.541
1.292 3.788 2.461
3.927 0.775 6.541
2.635 3.013 6.541
0.000 0.000 4.501
0.000 3.042 0.577
2.635 1.521 8.426

---

Entry 11:
AcAl2SiPt5 PBE-GGA optimized geometry; final energy = -6.025 eV/atom; formation energy (no corrections) = -779 meV/atom; DOS at the Fermi energy = 0.294 states/eV per atom
1.0
-2.285 2.888 6.619
2.285 -2.888 6.619
2.285 2.888 -6.619
Ac Al Si Pt
1 2 1 5
Cartesian
0.000 0.000 0.000
2.285 0.000 4.068
0.000 2.888 2.551
0.000 0.000 6.619
2.285 1.476 -2.077
2.285 1.476 2.077
0.000 2.888 0.000
0.000 1.412 4.542
0.000 1.412 8.696

---

Entry 12:
MgH2O PBE-GGA optimized geometry; final energy = -4.497 eV/atom; ΔE to the lowest computed polymorph = 10 meV/atom; DOS at the Fermi energy = 0.000 states/eV per atom
1.0
1.574 0.909 4.624
-1.574 0.909 4.624
0.000 -1.818 4.624
Mg H O
1 2 1
Cartesian
0.000 0.000 0.000
0.000 0.000 6.521
0.000 0.000 8.146
0.000 0.000 5.530